First-principles (PBE) data for a relaxed Ce5Si2Te2 crystal, as listed in Alexandria.

It has space group Cmce (No. 64), with a = 15.523 Å, b = 7.936 Å, c = 7.934 Å, α = 90.00°, β = 90.00° and γ = 90.00°. The distinct sites, in fractional coordinates, are Ce at (0.000, 0.000, 0.000), Ce at (0.125, 0.177, 0.323), Si at (0.000, 0.116, 0.616) and Te at (0.210, 0.000, 0.000).

The volume comes out at 27.15 A^3/atom. Its raw total energy is -6.1065 eV per atom.

=====

First-principles (PBE) data for a relaxed Ce4SiTe2 crystal, as listed in Alexandria.

It has space group C2/m (No. 12), with a = 16.317 Å, b = 4.213 Å, c = 7.291 Å, α = 90.00°, β = 116.33° and γ = 90.00°. The distinct sites, in fractional coordinates, are Ce at (0.107, 0.000, 0.441), Ce at (0.112, 0.500, 0.947), Si at (0.000, 0.000, 0.000) and Te at (0.247, 0.500, 0.742).

The volume comes out at 32.08 A^3/atom. Its raw total energy is -5.8333 eV per atom.

=====

First-principles (PBE) data for a relaxed Ce3SiTe crystal, as listed in Alexandria.

It has space group C2/c (No. 15), with a = 12.400 Å, b = 11.126 Å, c = 8.175 Å, α = 90.00°, β = 92.12° and γ = 90.00°. The distinct sites, in fractional coordinates, are Ce at (0.060, 0.097, 0.400), Ce at (0.142, 0.419, 0.586), Ce at (0.249, 0.183, 0.805), Si at (0.203, 0.054, 0.122), Te at (0.000, 0.205, 0.750) and Te at (0.000, 0.370, 0.250).

The volume comes out at 28.18 A^3/atom. Its raw total energy is -5.9675 eV per atom.

=====

First-principles (PBE) data for a relaxed CeThSi2 crystal, as listed in Alexandria.

It has space group R-3m (No. 166, hexagonal axes), with a = 4.2271 Å, b = 4.2271 Å, c = 20.7056 Å, α = 90.00°, β = 90.00° and γ = 120.00°. The distinct sites, in fractional coordinates, are Ce at (0.0000, 0.0000, 0.0000), Th at (0.0000, 0.0000, 0.5000) and Si at (0.0000, 0.0000, 0.2527).

The volume comes out at 26.70 A^3/atom. Its raw total energy is -6.5840 eV per atom.

=====

First-principles (PBE) data for a relaxed CeTh2Si crystal, as listed in Alexandria.

It has space group R-3m (No. 166, hexagonal axes), with a = 3.7892 Å, b = 3.7892 Å, c = 30.8718 Å, α = 90.00°, β = 90.00° and γ = 120.00°. The distinct sites, in fractional coordinates, are Ce at (0.0000, 0.0000, 0.0000), Th at (0.0000, 0.0000, 0.1071) and Si at (0.0000, 0.0000, 0.5000).

The volume comes out at 31.99 A^3/atom. Its raw total energy is -6.4126 eV per atom.

=====

First-principles (PBE) data for a relaxed CeTh2Si crystal, as listed in Alexandria.

It has space group P4/mmm (No. 123), with a = 3.934 Å, b = 3.934 Å, c = 6.981 Å, α = 90.00°, β = 90.00° and γ = 90.00°. The distinct sites, in fractional coordinates, are Ce at (0.000, 0.000, 0.000), Th at (0.500, 0.500, 0.280) and Si at (0.000, 0.000, 0.500).

The volume comes out at 27.01 A^3/atom. Its raw total energy is -6.7163 eV per atom.

=====

First-principles (PBE) data for a relaxed CeTh2Si crystal, as listed in Alexandria.

It has space group P4/mmm (No. 123), with a = 4.787 Å, b = 4.787 Å, c = 4.554 Å, α = 90.00°, β = 90.00° and γ = 90.00°. The distinct sites, in fractional coordinates, are Ce at (0.000, 0.000, 0.000), Th at (0.000, 0.500, 0.500) and Si at (0.500, 0.500, 0.000).

The volume comes out at 26.10 A^3/atom. Its raw total energy is -6.7758 eV per atom.

=====

First-principles (PBE) data for a relaxed CeTh3Si4 crystal, as listed in Alexandria.

It has space group Immm (No. 71), with a = 4.161 Å, b = 6.379 Å, c = 15.771 Å, α = 90.00°, β = 90.00° and γ = 90.00°. The distinct sites, in fractional coordinates, are Ce at (0.000, 0.000, 0.000), Th at (0.000, 0.000, 0.500), Th at (0.000, 0.500, 0.307) and Si at (0.000, 0.312, 0.130).

The volume comes out at 26.16 A^3/atom. Its raw total energy is -6.7438 eV per atom.